(1)
Here is an optimized crystal structure of Dy2ZrCuS5 from the Alexandria database. Energies are from PBE.

Cell: 8.323 8.323 11.512 Å, 90.00 90.00 154.12°
Atoms (fractional coordinates):
1 Dy 0.113 0.887 0.500
2 Dy 0.126 0.874 0.133
3 Dy 0.874 0.126 0.633
4 Dy 0.887 0.113 0.000
5 Zr 0.186 0.814 0.827
6 Zr 0.814 0.186 0.327
7 Cu 0.441 0.559 0.246
8 Cu 0.559 0.441 0.746
9 S 0.035 0.965 0.854
10 S 0.293 0.707 0.487
11 S 0.309 0.691 0.163
12 S 0.350 0.650 0.819
13 S 0.493 0.507 0.574
14 S 0.507 0.493 0.074
15 S 0.650 0.350 0.319
16 S 0.691 0.309 0.663
17 S 0.707 0.293 0.987
18 S 0.965 0.035 0.354

- Formation energy (no corrections): -1588 meV/atom
- Fermi-level density of states: 2.12 states/eV/cell

---

(2)
Here is an optimized crystal structure of DyZrCuS4 from the Alexandria database. Energies are from PBE.

Cell: 7.581 7.581 7.581 Å, 120.84 119.39 89.81°
Atoms (fractional coordinates):
1 Dy 0.000 0.000 0.000
2 Dy 0.500 0.000 0.500
3 Zr 0.500 0.000 0.000
4 Zr 0.500 0.500 0.500
5 Cu 0.128 0.378 0.750
6 Cu 0.872 0.622 0.250
7 S 0.257 0.745 0.511
8 S 0.261 0.265 0.505
9 S 0.261 0.756 0.995
10 S 0.266 0.255 0.011
11 S 0.734 0.745 0.989
12 S 0.739 0.244 0.005
13 S 0.739 0.735 0.495
14 S 0.743 0.255 0.489

- Formation energy (no corrections): -1434 meV/atom
- Fermi-level density of states: 1.05 states/eV/cell

---

(3)
Here is an optimized crystal structure of DyCuSb from the Alexandria database. Energies are from PBE.

Cell: 3.446 4.412 10.118 Å, 77.68 89.99 89.93°
Atoms (fractional coordinates):
1 Dy 0.001 0.341 0.316
2 Dy 0.999 0.659 0.684
3 Cu 0.500 0.221 0.559
4 Cu 0.500 0.779 0.441
5 Sb 0.498 0.084 0.837
6 Sb 0.502 0.916 0.163

- Formation energy (no corrections): -435 meV/atom
- Fermi-level density of states: 3.02 states/eV/cell

---

(4)
Here is an optimized crystal structure of DyCuSb from the Alexandria database. Energies are from PBE.

Cell: 4.331 4.331 4.105 Å, 90.00 90.00 120.00°
Atoms (fractional coordinates):
1 Dy 0.000 0.000 0.000
2 Cu 0.333 0.667 0.457
3 Sb 0.667 0.333 0.508

- Formation energy (no corrections): -672 meV/atom
- Fermi-level density of states: 1.47 states/eV/cell